(1)
Material: GdPtS2
Method: DFT, GGA-PBE
State: relaxed

Calculated values
**Calculated volume**: 23.09 Å³ per atom
**Energy relative to the elements, uncorrected**: -152.6 kJ/mol of formula units
**SG**: R-3m, No. 166
**Total energy**: -29.96 eV per formula unit
**Magnetic moment**: 1.82 μB/atom

a b c (Å): 3.6703 3.6703 8.1947
angles (deg): 77.06 77.06 60.00
Positions (direct):
S1 0.8849 0.8849 0.3452
S2 0.1151 0.1151 0.6548
Gd1 0.0000 0.0000 0.0000
Pt1 0.5000 0.5000 0.5000

=====

(2)
Material: LiNi7H6
Method: DFT, GGA-PBE
State: relaxed

Calculated values
**Calculated volume**: 7.60 Å³ per atom
**SG**: R3, No. 146
**Total energy**: -63.67 eV per formula unit
**Magnetic moment**: 0.00 μB/atom

a b c (Å): 4.4142 4.4142 6.7985
angles (deg): 71.06 71.06 60.00
Positions (direct):
H1 0.2871 0.9227 0.1961
H2 0.9227 0.5941 0.1961
H3 0.0488 0.4136 0.8174
H4 0.5941 0.2871 0.1961
H5 0.7202 0.0488 0.8174
H6 0.4136 0.7202 0.8174
Ni1 0.2175 0.5528 0.3423
Ni2 0.4410 0.1106 0.6711
Ni3 0.7774 0.4410 0.6711
Ni4 0.5528 0.8874 0.3423
Ni5 0.6644 0.6644 0.0068
Ni6 0.8874 0.2175 0.3423
Ni7 0.1106 0.7774 0.6711
Li1 0.9980 0.9980 0.0059

=====

(3)
Material: AlSnSbTe2
Method: DFT, GGA-PBE
State: relaxed

Calculated values
**Calculated volume**: 37.37 Å³ per atom
**Energy relative to the elements, uncorrected**: 305.5 kJ/mol of formula units
**SG**: P4/mmm, No. 123
**E above lowest polymorph**: 37.8 kJ per mole of atoms
**Total energy**: -14.98 eV per formula unit
**Magnetic moment**: 0.00 μB/atom

a b c (Å): 5.7540 5.7540 5.6431
angles (deg): 90.00 90.00 90.00
Positions (direct):
Sb1 0.0000 0.0000 0.5000
Al1 0.5000 0.5000 0.5000
Sn1 0.0000 0.0000 0.0000
Te1 0.5000 0.0000 0.0000
Te2 0.0000 0.5000 0.0000

=====

(4)
Material: GeIF
Method: DFT, GGA-PBE
State: relaxed

Calculated values
**Calculated volume**: 26.35 Å³ per atom
**Energy relative to the elements, uncorrected**: -299.6 kJ/mol of formula units
**SG**: P3m1, No. 156
**E above lowest polymorph**: 11.0 kJ per mole of atoms
**Total energy**: -11.14 eV per formula unit
**Magnetic moment**: 0.00 μB/atom

a b c (Å): 5.9345 3.9218 3.9218
angles (deg): 120.00 90.00 90.00
Positions (direct):
Ge1 0.0674 0.0000 0.0000
F1 0.1884 0.3333 0.6667
I1 0.7441 0.6667 0.3333

=====

(5)
Material: Pm3Y5Ho3
Method: DFT, GGA-PBE
State: relaxed

Calculated values
**Calculated volume**: 34.11 Å³ per atom
**SG**: P-62m, No. 189
**E above lowest polymorph**: 0.0 kJ per mole of atoms
**Total energy**: -56.43 eV per formula unit
**ΔH_f (0 K)**: 352 meV/atom
**Magnetic moment**: 0.00 μB/atom

a b c (Å): 3.4575 11.1941 11.1941
angles (deg): 120.00 89.97 90.01
Positions (direct):
Y1 0.4999 0.6604 0.6604
Y2 0.4999 0.3396 0.0000
Y3 0.5000 0.6667 0.3333
Y4 0.5002 0.0000 0.3396
Y5 0.5000 0.3333 0.6667
Pm1 0.0000 0.4013 0.4013
Pm2 0.0000 0.5987 0.0000
Pm3 0.9999 0.0000 0.5987
Ho1 0.5003 0.1583 0.1583
Ho2 0.4995 0.0000 0.8417
Ho3 0.5002 0.8417 0.0000

=====

(6)
Material: SrIn6
Method: DFT, GGA-PBE
State: relaxed

Calculated values
**Calculated volume**: 37.19 Å³ per atom
**SG**: Im-3m, No. 229
**E above lowest polymorph**: 30.8 kJ per mole of atoms
**Total energy**: -17.17 eV per formula unit
**ΔH_f (0 K)**: 135 meV/atom
**Magnetic moment**: 0.00 μB/atom

a b c (Å): 6.9670 6.9670 6.9670
angles (deg): 109.47 109.47 109.47
Positions (direct):
In1 0.2500 0.7500 0.5000
In2 0.7500 0.2500 0.5000
In3 0.5000 0.2500 0.7500
In4 0.5000 0.7500 0.2500
In5 0.2500 0.5000 0.7500
In6 0.7500 0.5000 0.2500
Sr1 0.0000 0.0000 0.0000

=====

(7)
Material: BaAcPt2
Method: DFT, GGA-PBE
State: relaxed

Calculated values
**Calculated volume**: 31.75 Å³ per atom
**SG**: R-3m, No. 166
**E above lowest polymorph**: 0.0 kJ per mole of atoms
**Total energy**: -21.80 eV per formula unit
**ΔH_f (0 K)**: -922 meV/atom
**Magnetic moment**: 0.00 μB/atom

a b c (Å): 4.4490 4.4490 7.8425
angles (deg): 73.52 73.52 60.00
Positions (direct):
Pt1 0.2577 0.2577 0.2269
Pt2 0.7423 0.7423 0.7731
Ba1 0.5000 0.5000 0.5000
Ac1 0.0000 0.0000 0.0000

=====

(8)
Material: MoOsRh2
Method: DFT, GGA-PBE
State: relaxed

Calculated values
**Calculated volume**: 14.47 Å³ per atom
**SG**: Pmm2, No. 25
**E above lowest polymorph**: 5.0 kJ per mole of atoms
**Total energy**: -37.31 eV per formula unit
**ΔH_f (0 K)**: -137 meV/atom
**Magnetic moment**: 0.00 μB/atom

a b c (Å): 4.3893 2.7371 4.8173
angles (deg): 90.00 90.00 90.00
Positions (direct):
Rh1 0.0000 0.1251 0.9566
Rh2 0.5000 0.1249 0.2860
Os1 0.5000 0.6250 0.7921
Mo1 0.0000 0.6249 0.4654

=====

(9)
Material: TbNd2Y6Er2
Method: DFT, GGA-PBE
State: relaxed

Calculated values
**Calculated volume**: 33.20 Å³ per atom
**SG**: C2/m, No. 12
**Total energy**: -60.46 eV per formula unit
**ΔH_f (0 K)**: 147 meV/atom
**Magnetic moment**: 0.00 μB/atom

a b c (Å): 6.6630 6.6630 12.0987
angles (deg): 101.55 101.55 129.62
Positions (direct):
Y1 0.2956 0.2956 0.2944
Y2 0.5604 0.8678 0.2130
Y3 0.4396 0.1322 0.7870
Y4 0.7044 0.7044 0.7056
Y5 0.1322 0.4396 0.7870
Y6 0.8678 0.5604 0.2130
Tb1 0.0000 0.0000 0.5000
Nd1 0.1351 0.8649 0.0000
Nd2 0.8649 0.1351 0.0000
Er1 0.7035 0.2965 0.5000
Er2 0.2965 0.7035 0.5000

=====

(10)
Material: SbOsCl2
Method: DFT, GGA-PBE
State: relaxed

Calculated values
**Calculated volume**: 27.52 Å³ per atom
**Energy relative to the elements, uncorrected**: 8.8 kJ/mol of formula units
**SG**: Cm, No. 8
**E above lowest polymorph**: 0.0 kJ per mole of atoms
**Total energy**: -18.95 eV per formula unit
**Magnetic moment**: 0.21 μB/atom

a b c (Å): 4.0021 4.0021 8.5327
angles (deg): 89.65 89.65 53.66
Positions (direct):
Cl1 0.8411 0.8411 0.6594
Cl2 0.1339 0.1339 0.0463
Os1 0.4157 0.4157 0.4718
Sb1 0.1093 0.1093 0.3224

=====

(11)
Material: Re2Ru
Method: DFT, GGA-PBE
State: relaxed

Calculated values
**Calculated volume**: 14.59 Å³ per atom
**SG**: Cm, No. 8
**E above lowest polymorph**: 0.0 kJ per mole of atoms
**Total energy**: -34.37 eV per formula unit
**ΔH_f (0 K)**: -65 meV/atom
**Magnetic moment**: 0.00 μB/atom

a b c (Å): 2.7620 5.2088 6.5052
angles (deg): 76.39 90.00 105.37
Positions (direct):
Ru1 0.0559 0.1119 0.3905
Ru2 0.7215 0.4430 0.0549
Re1 0.3898 0.7796 0.7194
Re2 0.6653 0.3305 0.6659
Re3 0.0021 0.0042 0.0034
Re4 0.3321 0.6641 0.3326

=====

(12)
Material: Li2La2Ag
Method: DFT, GGA-PBE
State: relaxed

Calculated values
**Calculated volume**: 31.38 Å³ per atom
**SG**: P4/mbm, No. 127
**E above lowest polymorph**: 27.9 kJ per mole of atoms
**Total energy**: -15.15 eV per formula unit
**ΔH_f (0 K)**: 277 meV/atom
**Magnetic moment**: 0.00 μB/atom

a b c (Å): 7.8615 7.8615 5.0774
angles (deg): 90.00 90.00 90.00
Positions (direct):
Li1 0.8461 0.3461 0.5000
Li2 0.3461 0.1539 0.5000
Li3 0.6539 0.8461 0.5000
Li4 0.1539 0.6539 0.5000
La1 0.6389 0.1389 0.0000
La2 0.3611 0.8611 0.0000
La3 0.1389 0.3611 0.0000
La4 0.8611 0.6389 0.0000
Ag1 0.0000 0.0000 0.0000
Ag2 0.5000 0.5000 0.0000

=====

Number 1 is which compound? GdPtS2

=====

Among the records above, which one has the lowest calculated volume? LiNi7H6